# 1
Density functional theory data (PBE) for a relaxed ScFe3Au crystal.

abc: 4.7422 4.7422 4.7422
angles: 90.00 90.00 90.00
Space group Pm-3m (No. 221)
Inequivalent atoms, fractional coordinates:
Sc: 0.0000 0.0000 0.0000 x1
Fe: 0.0000 0.5000 0.5000 x3
Au: 0.5000 0.5000 0.5000 x1

# 2
Density functional theory data (PBE) for a relaxed Be2RhF crystal.

Properties
E_form (uncorrected), kJ/mol of formula units: -254

abc: 5.2598 5.2598 6.0899
angles: 90.00 90.00 90.00
Space group I-42d (No. 122)
Inequivalent atoms, fractional coordinates:
Be: 0.1756 0.2500 0.1250 x8
Rh: 0.0000 0.0000 0.5000 x4
F: 0.0000 0.0000 0.0000 x4

These records have magnetization values of 8.3 0.0 μB/cell, in the order they appear.
These records have relative energy among the computed polymorphs values of 0.0 0.0 meV/atom, in the order they appear.